# CrHOF2

A relaxed structure of CrHOF2 (PBE with a Hubbard U, the Alexandria database).

Its crystal system is tetragonal. The calculation puts the energy above the most stable polymorph in this dataset at 0 meV/atom. The value obtained for the calculated volume is 56.3 Å³ per cell.

The space group is P4/mmm (No. 123) and the conventional cell measures 3.908, 3.908 and 3.688 Å, with angles of 90.00, 90.00 and 90.00 degrees. The inequivalent atoms are Cr at (0.000, 0.000, 0.000), H at (0.500, 0.500, 0.500), O at (0.000, 0.000, 0.500) and F at (0.000, 0.500, 0.000).